Record 1
The following is a DFT calculation (GGA-PBEsol) of a relaxed structure of MgIn3.

Results
- Formation energy from the elements: -0.05 eV/atom

Cell lengths 5.772, 5.772, 5.341 Å; angles 101.67, 101.67, 33.61 degrees
Positions (direct):
1 Mg 0.000 0.000 0.000
2 In 0.255 0.255 0.753
3 In 0.500 0.500 0.500
4 In 0.745 0.745 0.247

---

Record 2
The following is a DFT calculation (GGA-PBEsol) of a relaxed structure of TlInOs2.

Results
- Formation energy from the elements: 0.83 eV/atom
- Excess energy over the best structure of this formula in the dataset: 9.05 kcal/mol of atoms

Cell lengths 4.800, 4.800, 5.495 Å; angles 104.38, 104.38, 35.96 degrees
Positions (direct):
1 Tl 0.000 0.000 0.000
2 In 0.500 0.500 0.500
3 Os 0.254 0.254 0.703
4 Os 0.746 0.746 0.297

---

Record 3
The following is a DFT calculation (GGA-PBEsol) of a relaxed structure of NaLaTa3.

Results
- Formation energy from the elements: 2.18 eV/atom
- Excess energy over the best structure of this formula in the dataset: 1.42 kcal/mol of atoms

Cell lengths 4.934, 4.934, 4.934 Å; angles 90.00, 90.00, 90.00 degrees
Positions (direct):
1 Na 0.000 0.000 0.000
2 La 0.500 0.500 0.500
3 Ta 0.000 0.500 0.500
4 Ta 0.500 0.000 0.500
5 Ta 0.500 0.500 0.000

---

Record 4
The following is a DFT calculation (GGA-PBEsol) of a relaxed structure of LiTlCo3.

Results
- Formation energy from the elements: 1.66 eV/atom

Cell lengths 4.781, 4.781, 4.781 Å; angles 90.00, 90.00, 90.00 degrees
Positions (direct):
1 Li 0.000 0.000 0.000
2 Tl 0.500 0.500 0.500
3 Co 0.000 0.500 0.500
4 Co 0.500 0.000 0.500
5 Co 0.500 0.500 0.000

---

Record 5
The following is a DFT calculation (GGA-PBEsol) of a relaxed structure of Cu2PtCl.

Results
- Excess energy over the best structure of this formula in the dataset: 0.00 kcal/mol of atoms
- Energy relative to the elements, uncorrected: 0.714 eV/f.u.

Cell lengths 3.020, 3.020, 6.269 Å; angles 90.00, 90.00, 90.00 degrees
Positions (direct):
1 Cu 0.000 0.000 0.000
2 Cu 0.500 0.500 0.207
3 Pt 0.000 0.000 0.425
4 Cl 0.500 0.500 0.778

---

Record 6
The following is a DFT calculation (GGA-PBEsol) of a relaxed structure of Ta2OsAu.

Results
- Formation energy from the elements: 0.12 eV/atom
- Excess energy over the best structure of this formula in the dataset: 2.28 kcal/mol of atoms

Cell lengths 2.787, 2.787, 8.975 Å; angles 90.00, 90.00, 108.48 degrees
Positions (direct):
1 Ta 0.000 0.000 0.000
2 Ta 0.500 0.500 0.258
3 Os 0.500 0.500 0.771
4 Au 0.000 0.000 0.511

---

Record 7
The following is a DFT calculation (GGA-PBEsol) of a relaxed structure of Nb2Co2P.

Results
- Formation energy from the elements: 0.32 eV/atom

Cell lengths 5.427, 5.427, 5.427 Å; angles 135.25, 135.25, 65.15 degrees
Positions (direct):
1 Nb 0.250 0.750 0.500
2 Nb 0.750 0.250 0.500
3 Co 0.114 0.114 0.000
4 Co 0.886 0.886 0.000
5 P 0.500 0.500 0.000

---

Record 8
The following is a DFT calculation (GGA-PBEsol) of a relaxed structure of La2Y.

Results
- Formation energy from the elements: 0.03 eV/atom
- Excess energy over the best structure of this formula in the dataset: 0.41 kcal/mol of atoms

Cell lengths 9.860, 9.860, 3.538 Å; angles 90.00, 90.00, 120.00 degrees
Positions (direct):
1 La 0.000 0.354 0.000
2 La 0.000 0.690 0.500
3 La 0.310 0.310 0.500
4 La 0.354 0.000 0.000
5 La 0.646 0.646 0.000
6 La 0.690 0.000 0.500
7 Y 0.000 0.000 0.000
8 Y 0.333 0.667 0.500
9 Y 0.667 0.333 0.500